Density functional theory data (PBE) for Nb8ReMo2 after structural relaxation.

Cell and atoms, written as CIF:
```
data_Nb8ReMo2
_cell_length_a 14.238
_cell_length_b 5.378
_cell_length_c 5.324
_cell_angle_alpha 90.00
_cell_angle_beta 104.05
_cell_angle_gamma 90.00
_space_group_name_H-M_alt 'C 1 2/m 1'
_space_group_IT_number 12
_space_group_name_Hall '-C 2y'
loop_
_atom_site_label
_atom_site_type_symbol
_atom_site_fract_x
_atom_site_fract_y
_atom_site_fract_z
Nb1 Nb 0.001 0.000 0.243
Nb2 Nb 0.104 0.500 0.051
Nb3 Nb 0.166 0.248 0.586
Re1 Re 0.000 0.500 0.500
Mo1 Mo 0.192 0.000 0.068
```

DFT formation energy = 0.1246 eV per atom
DFT total energy = -10.300 eV per atom

=====

Density functional theory data (PBE) for LiPmCuSi2 after structural relaxation.

Cell and atoms, written as CIF:
```
data_LiPmCuSi2
_cell_length_a 4.075
_cell_length_b 4.075
_cell_length_c 10.205
_cell_angle_alpha 90.00
_cell_angle_beta 90.00
_cell_angle_gamma 90.00
_space_group_name_H-M_alt 'I -4 m 2'
_space_group_IT_number 119
_space_group_name_Hall 'I -4 -2'
loop_
_atom_site_label
_atom_site_type_symbol
_atom_site_fract_x
_atom_site_fract_y
_atom_site_fract_z
Li1 Li 0.000 0.000 0.000
Pm1 Pm 0.000 0.500 0.750
Cu1 Cu 0.000 0.000 0.500
Si1 Si 0.000 0.500 0.134
```

DFT total energy = -4.877 eV per atom

=====

Density functional theory data (PBE) for Sm6ZnTe3S2 after structural relaxation.

Cell and atoms, written as CIF:
```
data_Sm6ZnTe3S2
_cell_length_a 7.303
_cell_length_b 12.602
_cell_length_c 7.573
_cell_angle_alpha 90.00
_cell_angle_beta 108.61
_cell_angle_gamma 90.00
_space_group_name_H-M_alt 'C 1 2/m 1'
_space_group_IT_number 12
_space_group_name_Hall '-C 2y'
loop_
_atom_site_label
_atom_site_type_symbol
_atom_site_fract_x
_atom_site_fract_y
_atom_site_fract_z
Sm1 Sm 0.234 0.000 0.216
Sm2 Sm 0.242 0.331 0.220
Zn1 Zn 0.000 0.500 0.000
Te1 Te 0.000 0.000 0.500
Te2 Te 0.000 0.335 0.500
S1 S 0.000 0.166 0.000
```

DFT total energy = -5.365 eV per atom

=====

Density functional theory data (PBE) for AlGaCu14 after structural relaxation.

Cell and atoms, written as CIF:
```
data_AlGaCu14
_cell_length_a 8.376
_cell_length_b 5.478
_cell_length_c 8.582
_cell_angle_alpha 90.00
_cell_angle_beta 90.00
_cell_angle_gamma 90.00
_space_group_name_H-M_alt 'A m m 2'
_space_group_IT_number 38
_space_group_name_Hall 'A 2 -2'
loop_
_atom_site_label
_atom_site_type_symbol
_atom_site_fract_x
_atom_site_fract_y
_atom_site_fract_z
Al1 Al 0.000 0.000 0.000
Ga1 Ga 0.000 0.000 0.500
Cu1 Cu 0.000 0.249 0.748
Cu2 Cu 0.253 0.000 0.309
Cu3 Cu 0.253 0.000 0.811
Cu4 Cu 0.253 0.249 0.060
Cu5 Cu 0.500 0.000 0.126
Cu6 Cu 0.500 0.000 0.626
Cu7 Cu 0.500 0.250 0.376
```

DFT formation energy = -0.0426 eV per atom
DFT total energy = -4.050 eV per atom